(1)
# Tb2TmAl6 (GGA-PBE, optimized geometry)
# Magnetization, Bohr magnetons per cell: 0.0
# Energy of formation, eV/atom: -0.235
# Energy above the lowest structure with this stoichiometry, eV per formula unit: 2.33
# Crystal system: orthorhombic
data_Tb2TmAl6
_symmetry_space_group_name_H-M 'I m m m'
_symmetry_Int_Tables_number 71
_symmetry_space_group_name_Hall '-I 2 2'
_cell_length_a 3.426
_cell_length_b 7.886
_cell_length_c 14.659
_cell_angle_alpha 90.00
_cell_angle_beta 90.00
_cell_angle_gamma 90.00
loop_
_atom_site_label
_atom_site_type_symbol
_atom_site_fract_x
_atom_site_fract_y
_atom_site_fract_z
_atom_site_occupancy
Tb1 Tb 0.000 0.000 0.152 1
Tm1 Tm 0.000 0.500 0.000 1
Al1 Al 0.000 0.170 0.341 1
Al2 Al 0.000 0.328 0.500 1

---

(2)
# KSb2Se4 (GGA-PBE, optimized geometry)
# Magnetization, Bohr magnetons per cell: 0.0
# Formation energy without anion corrections, kJ per mole of atoms: -48.2
# Energy above the lowest structure with this stoichiometry, eV per formula unit: 0.00
# Crystal system: triclinic
data_KSb2Se4
_symmetry_space_group_name_H-M 'P -1'
_symmetry_Int_Tables_number 2
_cell_length_a 6.932
_cell_length_b 7.029
_cell_length_c 9.471
_cell_angle_alpha 79.40
_cell_angle_beta 82.82
_cell_angle_gamma 75.96
loop_
_symmetry_equiv_pos_as_xyz
'x,y,z'
'-x,-y,-z'
loop_
_atom_site_label
_atom_site_type_symbol
_atom_site_fract_x
_atom_site_fract_y
_atom_site_fract_z
_atom_site_occupancy
K1 K 0.201 0.187 0.068 1
Sb1 Sb 0.147 0.189 0.544 1
Sb2 Sb 0.416 0.606 0.663 1
Se1 Se 0.084 0.480 0.727 1
Se2 Se 0.214 0.854 0.379 1
Se3 Se 0.304 0.936 0.773 1
Se4 Se 0.405 0.589 0.094 1